Crystalline NpBiMoO6 at its relaxed geometry. Source: Alexandria via LeMat-Bulk, functional PBE+U.

Structure (POSCAR):
```
NpBiMoO6
1.0
5.084 0.000 0.000
0.000 5.084 0.000
0.000 0.000 10.249
Np Bi Mo O
2 2 2 12
Direct
0.500 0.500 0.833 Np
0.000 0.000 0.333 Np
0.500 0.500 0.498 Bi
0.000 0.000 0.998 Bi
0.500 0.500 0.168 Mo
0.000 0.000 0.668 Mo
0.177 0.823 0.495 O
0.823 0.177 0.495 O
0.323 0.323 0.995 O
0.677 0.677 0.995 O
0.199 0.801 0.184 O
0.801 0.199 0.184 O
0.301 0.301 0.684 O
0.699 0.699 0.684 O
0.795 0.205 0.822 O
0.205 0.795 0.822 O
0.705 0.705 0.322 O
0.295 0.295 0.322 O
```

Computed properties:
The calculation puts the energy at -8.0119 eV per atom.